Record 1
LaThSc2 | the Alexandria database | PBE | optimized geometry; space-group type = R3m (160); spin magnetization = 0.000 μB/cell; relative energy among the computed polymorphs = 0.057 eV/atom; calculated density = 6.6 g/cm³
1.0
3.466 0.000 0.000
1.733 3.002 0.000
1.733 1.001 11.174
La Th Sc
1 1 2
Direct
0.667 0.667 0.000
0.500 0.500 0.500
0.084 0.084 0.748
0.249 0.249 0.252

***

Record 2
YGeBiO5 | the Alexandria database | PBE | optimized geometry; raw formation energy = -2.20 eV/atom; space-group type = Pbca (61); spin magnetization = 0.000 μB/cell; relative energy among the computed polymorphs = 0.000 eV/atom; calculated density = 6.4 g/cm³
1.0
-4.369 -2.110 -2.411
-0.753 -7.690 8.094
-9.072 9.469 8.153
Y Ge Bi O
8 8 8 40
Direct
0.991 0.359 0.947
0.009 0.641 0.053
0.509 0.859 0.053
0.009 0.141 0.447
0.491 0.141 0.947
0.991 0.859 0.553
0.491 0.641 0.553
0.509 0.359 0.447
0.993 0.404 0.597
0.007 0.596 0.403
0.507 0.904 0.403
0.007 0.096 0.097
0.493 0.096 0.597
0.993 0.904 0.903
0.493 0.596 0.903
0.507 0.404 0.097
0.546 0.352 0.763
0.454 0.648 0.237
0.954 0.852 0.237
0.454 0.148 0.263
0.046 0.148 0.763
0.546 0.852 0.737
0.046 0.648 0.737
0.954 0.352 0.263
0.753 0.235 0.850
0.247 0.765 0.150
0.747 0.735 0.150
0.247 0.265 0.350
0.253 0.265 0.850
0.753 0.735 0.650
0.253 0.765 0.650
0.747 0.235 0.350
0.641 0.190 0.522
0.359 0.810 0.478
0.859 0.690 0.478
0.359 0.310 0.022
0.141 0.310 0.522
0.641 0.690 0.978
0.141 0.810 0.978
0.859 0.190 0.022
0.700 0.459 0.562
0.300 0.541 0.438
0.800 0.959 0.438
0.300 0.041 0.062
0.200 0.041 0.562
0.700 0.959 0.938
0.200 0.541 0.938
0.800 0.459 0.062
0.692 0.475 0.873
0.308 0.525 0.127
0.808 0.975 0.127
0.308 0.025 0.373
0.192 0.025 0.873
0.692 0.975 0.627
0.192 0.525 0.627
0.808 0.475 0.373
0.935 0.331 0.699
0.065 0.669 0.301
0.565 0.831 0.301
0.065 0.169 0.199
0.435 0.169 0.699
0.935 0.831 0.801
0.435 0.669 0.801
0.565 0.331 0.199

***

Record 3
Ba2PaGeO6 | the Alexandria database | PBE | optimized geometry; raw formation energy = -2.72 eV/atom; space-group type = P4/mmm (123); spin magnetization = 0.000 μB/cell; calculated density = 6.9 g/cm³
1.0
4.329 0.000 0.000
0.000 4.329 0.000
0.000 0.000 8.671
Ba Pa Ge O
2 1 1 6
Direct
0.000 0.000 0.713
0.000 0.000 0.287
0.500 0.500 0.000
0.500 0.500 0.500
0.500 0.000 0.000
0.500 0.000 0.500
0.000 0.500 0.000
0.000 0.500 0.500
0.500 0.500 0.751
0.500 0.500 0.249

***

Record 4
KSrV | the Alexandria database | PBE | optimized geometry; space-group type = P1 (1); spin magnetization = 0.000 μB/cell; relative energy among the computed polymorphs = 0.190 eV/atom; calculated density = 2.5 g/cm³
1.0
3.574 -0.026 0.043
-2.507 7.203 0.039
-2.520 -3.811 9.176
Sr K V
2 2 2
Direct
0.984 0.257 0.346
0.301 0.683 0.198
0.213 0.905 0.657
0.982 0.472 0.796
0.359 0.215 0.041
0.951 0.985 0.037